The following is a PBE+U calculation of a geometry-optimized BaLa3Mn4O10 structure, from Alexandria via LeMat-Bulk.

Summary:
E_tot, eV per atom: -7.508
Total magnetization, μB per formula unit: 11.0
Calculated volume, Å³/f.u.: 261
Mass density, g/cm3: 5.94

abc: 9.0838 9.0838 11.5672
angles: 70.91 70.91 35.61
Last column: nearest neighbours and their distance in Å.
Fractional positions:
Mn: 0.2847 0.2231 0.6523  4 O 2.01-2.09
O: 0.1614 0.3394 0.8256  2 Mn 2.09-2.12
Mn: 0.4958 0.5000 0.5006  6 O 1.96-2.13
O: 0.4036 0.3357 0.0345  2 Mn 2.03-2.12
Mn: 0.2231 0.2847 0.1523  4 O 2.01-2.09
O: 0.3357 0.4036 0.5345  2 Mn 2.03-2.12
La: 0.4103 0.3693 0.8144  6 O 2.45-2.68
O: 0.2510 0.7791 0.3788  2 Mn 1.98-2.06
O: 0.3394 0.1614 0.3256  2 Mn 2.09-2.12
O: 0.2555 0.7362 0.8780  2 Mn 1.96-2.05
Mn: 0.7799 0.7170 0.8487  4 O 2.02-2.12
Mn: 0.5000 0.4958 0.0006  6 O 1.96-2.13
O: 0.6748 0.5802 0.4478  2 Mn 2.06-2.13
Mn: 0.7170 0.7799 0.3487  4 O 2.02-2.12
Mn: 0.0000 0.9995 0.2506  4 O 2.05-2.08
O: 0.1390 0.1449 0.6367  1 Mn 2.01
La: 0.9002 0.8849 0.5439  4 O 2.30-2.55
La: 0.1251 0.0948 0.9567  4 O 2.33-2.54
O: 0.5802 0.6748 0.9478  2 Mn 2.06-2.13
O: 0.1449 0.1390 0.1367  1 Mn 2.01
O: 0.9112 0.8078 0.3601  1 Mn 2.02
O: 0.2344 0.7278 0.1298  2 Mn 1.98-2.08
O: 0.2368 0.7357 0.6288  2 Mn 1.98-2.05
Ba: 0.6147 0.6174 0.6875  6 O 2.59-2.85
O: 0.8719 0.6572 0.1751  2 Mn 2.04-2.08
O: 0.8078 0.9112 0.8601  1 Mn 2.02
La: 0.8849 0.9002 0.0439  4 O 2.30-2.55
La: 0.0948 0.1251 0.4567  4 O 2.33-2.54
O: 0.7278 0.2344 0.6298  2 Mn 1.98-2.08
O: 0.7357 0.2368 0.1288  2 Mn 1.98-2.05
Mn: 0.9995 0.0000 0.7506  4 O 2.05-2.08
O: 0.6572 0.8719 0.6751  2 Mn 2.04-2.08
La: 0.3693 0.4103 0.3144  6 O 2.45-2.68
Ba: 0.6174 0.6147 0.1875  6 O 2.59-2.85
O: 0.7362 0.2555 0.3780  2 Mn 1.96-2.05
O: 0.7791 0.2510 0.8788  2 Mn 1.98-2.06